# PmAl3CuNi

A relaxed PmAl3CuNi crystal (PBE-GGA, the Alexandria database).

E_form ... -0.32 eV per atom
Symmetry ... Cmcm (63)
Raw total energy ... -55.55 eV/cell
Magnetic moment ... 0.0 μB per formula unit
D(E_F) ... 5.850 states/eV per cell

Structure (POSCAR):
```
PmAl3CuNi
1.0
3.0533 -6.0285 0.0000
3.0533 6.0285 0.0000
0.0000 0.0000 5.7967
Pm Al Cu Ni
2 6 2 2
direct
0.2249 0.7751 0.7500 Pm
0.7751 0.2249 0.2500 Pm
0.2128 0.2128 0.0000 Al
0.2128 0.2128 0.5000 Al
0.3575 0.6425 0.2500 Al
0.6425 0.3575 0.7500 Al
0.7872 0.7872 0.0000 Al
0.7872 0.7872 0.5000 Al
0.1451 0.8549 0.2500 Cu
0.8549 0.1451 0.7500 Cu
0.4395 0.5605 0.7500 Ni
0.5605 0.4395 0.2500 Ni
```